Record 1
The following is a DFT calculation (PBE) of a relaxed TiBeGa2 crystal.

a = 3.766 Å, b = 3.766 Å, c = 9.341 Å
α = 78.37°, β = 78.37°, γ = 90.00°
Atoms (fractional coordinates):
Be 0.500 0.500 0.000
Be 0.250 0.750 0.500
Ga 0.617 0.125 0.250
Ga 0.133 0.625 0.250
Ga 0.375 0.383 0.750
Ga 0.875 0.867 0.750
Ti 0.000 0.000 0.000
Ti 0.750 0.250 0.500

Output
crystal system	tetragonal
total DFT energy (no corrections)	-4.221	eV per atom
SG	I-42d, No. 122
energy relative to the lowest polymorph listed for this composition	511	meV/atom
magnetization	0.00	μB/cell
DFT formation energy	0.198	eV per atom


Record 2
The following is a DFT calculation (PBE) of a relaxed CuAgSn2Cl6 crystal.

a = 7.409 Å, b = 6.223 Å, c = 12.655 Å
α = 90.00°, β = 84.22°, γ = 90.00°
Site moments in Bohr magnetons follow the coordinates.
Atoms (fractional coordinates):
Cu 0.000 0.500 0.000  0.09
Cu 0.500 0.000 0.500  0.09
Ag 0.000 0.500 0.500  0.00
Ag 0.500 0.000 0.000  0.00
Sn 0.008 0.992 0.193  0.00
Sn 0.492 0.492 0.307  0.00
Sn 0.508 0.508 0.693  0.00
Sn 0.992 0.008 0.807  0.00
Cl 0.790 0.254 0.638  0.01
Cl 0.835 0.228 0.044  0.00
Cl 0.880 0.266 0.333  0.00
Cl 0.620 0.766 0.167  0.00
Cl 0.665 0.728 0.456  0.00
Cl 0.710 0.754 0.862  0.01
Cl 0.290 0.246 0.138  0.01
Cl 0.335 0.272 0.544  0.00
Cl 0.380 0.234 0.833  0.00
Cl 0.165 0.772 0.956  0.00
Cl 0.120 0.734 0.667  0.00
Cl 0.210 0.746 0.362  0.01

Output
crystal system	monoclinic
total DFT energy (no corrections)	-3.355	eV per atom
SG	P2_1/c, No. 14
raw formation energy	-0.75	eV/atom
magnetization	0.27	μB/cell


Record 3
The following is a DFT calculation (PBE) of a relaxed Pa2P3PdRh4 crystal.

a = 3.906 Å, b = 3.906 Å, c = 10.867 Å
α = 90.00°, β = 90.00°, γ = 90.00°
Atoms (fractional coordinates):
Pa 0.500 0.000 0.252
Pa 0.000 0.500 0.748
P 0.000 0.000 0.500
P 0.500 0.000 0.875
P 0.000 0.500 0.125
Pd 0.500 0.500 0.500
Rh 0.500 0.500 0.000
Rh 0.000 0.000 0.000
Rh 0.500 0.000 0.668
Rh 0.000 0.500 0.332

Output
crystal system	tetragonal
total DFT energy (no corrections)	-7.900	eV per atom
SG	P-4m2, No. 115
magnetization	0.00	μB/cell
DFT formation energy	-0.918	eV per atom


Record 4
The following is a DFT calculation (PBE) of a relaxed CrAuCl crystal.

a = 4.509 Å, b = 4.509 Å, c = 4.509 Å
α = 60.00°, β = 60.00°, γ = 60.00°
Site moments in Bohr magnetons follow the coordinates.
Atoms (fractional coordinates):
Cr 0.750 0.750 0.750  3.71
Au 0.000 0.000 0.000  -0.01
Cl 0.500 0.500 0.500  -0.06

Output
crystal system	cubic
total DFT energy (no corrections)	-4.728	eV per atom
SG	F-43m, No. 216
energy relative to the lowest polymorph listed for this composition	329	meV/atom
raw formation energy	0.19	eV/atom
magnetization	4.00	μB/cell


Record 5
The following is a DFT calculation (PBE) of a relaxed Co4Ni2Pt5 crystal.

a = 2.634 Å, b = 7.319 Å, c = 9.490 Å
α = 112.68°, β = 97.98°, γ = 90.00°
Site moments in Bohr magnetons follow the coordinates.
Atoms (fractional coordinates):
Co 0.752 0.752 0.504  1.90
Co 0.000 0.339 0.000  2.04
Co 0.248 0.248 0.496  1.90
Co 0.000 0.661 0.000  2.04
Ni 0.883 0.883 0.765  0.58
Ni 0.117 0.117 0.235  0.58
Pt 0.153 0.837 0.305  0.32
Pt 0.847 0.163 0.695  0.32
Pt 0.153 0.468 0.305  0.32
Pt 0.500 0.000 0.000  0.21
Pt 0.847 0.532 0.695  0.32

Output
crystal system	orthorhombic
total DFT energy (no corrections)	-5.960	eV per atom
SG	Immm, No. 71
energy relative to the lowest polymorph listed for this composition	321	meV/atom
magnetization	10.39	μB/cell
DFT formation energy	0.421	eV per atom


Record 6
The following is a DFT calculation (PBE) of a relaxed RbAlSe2 crystal.

a = 8.084 Å, b = 6.794 Å, c = 6.798 Å
α = 61.52°, β = 95.85°, γ = 122.93°
Atoms (fractional coordinates):
Rb 0.354 0.151 0.916
Rb 0.078 0.621 0.658
Al 0.710 0.710 0.191
Al 0.722 0.988 0.458
Se 0.440 0.686 0.349
Se 0.992 0.101 0.210
Se 0.777 0.749 0.834
Se 0.654 0.278 0.486

Output
crystal system	triclinic
total DFT energy (no corrections)	-4.016	eV per atom
SG	P1, No. 1
raw formation energy	-1.10	eV/atom
magnetization	0.00	μB/cell


Record 7
The following is a DFT calculation (PBE) of a relaxed Er7Te2Os2 crystal.

a = 3.971 Å, b = 9.307 Å, c = 9.307 Å
α = 59.49°, β = 77.68°, γ = 77.68°
Site moments in Bohr magnetons follow the coordinates.
Atoms (fractional coordinates):
Er 0.815 0.080 0.291  0.01
Er 0.849 0.413 0.888  0.04
Er 0.500 0.025 0.975  0.13
Er 0.634 0.473 0.259  0.01
Er 0.366 0.741 0.527  0.01
Er 0.185 0.709 0.920  0.01
Er 0.151 0.112 0.587  0.04
Te 0.000 0.759 0.241  0.00
Te 0.500 0.359 0.641  0.00
Os 0.738 0.854 0.671  0.01
Os 0.262 0.329 0.146  0.01

Output
crystal system	orthorhombic
total DFT energy (no corrections)	-6.192	eV per atom
SG	Imm2, No. 44
raw formation energy	-0.68	eV/atom
magnetization	0.43	μB/cell


Record 8
The following is a DFT calculation (PBE) of a relaxed CeMgOs2 crystal.

a = 2.855 Å, b = 2.855 Å, c = 9.849 Å
α = 81.67°, β = 81.67°, γ = 60.00°
Atoms (fractional coordinates):
Mg 0.000 0.000 0.000
Os 0.257 0.257 0.230
Os 0.743 0.743 0.770
Ce 0.500 0.500 0.500

Output
crystal system	trigonal
total DFT energy (no corrections)	-7.134	eV per atom
SG	R-3m, No. 166
magnetization	0.00	μB/cell
DFT formation energy	0.363	eV per atom


Record 9
The following is a DFT calculation (PBE) of a relaxed Sm2Pu2Se7 crystal.

a = 4.088 Å, b = 8.925 Å, c = 8.925 Å
α = 61.53°, β = 76.76°, γ = 76.76°
Site moments in Bohr magnetons follow the coordinates.
Atoms (fractional coordinates):
Sm 0.000 0.780 0.220  -0.02
Sm 0.500 0.328 0.672  -0.01
Pu 0.742 0.851 0.666  4.86
Pu 0.258 0.334 0.149  4.86
Se 0.815 0.080 0.290  -0.22
Se 0.858 0.418 0.865  -0.15
Se 0.500 0.009 0.991  -0.15
Se 0.612 0.493 0.283  -0.11
Se 0.388 0.717 0.507  -0.11
Se 0.185 0.710 0.920  -0.22
Se 0.142 0.135 0.582  -0.15

Output
crystal system	orthorhombic
total DFT energy (no corrections)	-7.162	eV per atom
SG	Imm2, No. 44
raw formation energy	-1.48	eV/atom
magnetization	8.33	μB/cell


Record 10
The following is a DFT calculation (PBE) of a relaxed TbPm2Nd2Er crystal.

a = 5.713 Å, b = 7.080 Å, c = 9.899 Å
α = 90.00°, β = 90.00°, γ = 90.00°
Atoms (fractional coordinates):
Tb 0.500 0.258 0.659
Tb 0.500 0.758 0.341
Pm 0.000 0.258 0.837
Pm 0.500 0.258 0.331
Pm 0.000 0.758 0.163
Pm 0.500 0.758 0.669
Nd 0.500 0.008 0.000
Nd 0.000 0.258 0.177
Nd 0.500 0.508 0.000
Nd 0.000 0.758 0.823
Er 0.000 0.008 0.500
Er 0.000 0.508 0.500

Output
crystal system	orthorhombic
total DFT energy (no corrections)	-4.647	eV per atom
SG	Pmma, No. 51
magnetization	0.00	μB/cell
DFT formation energy	0.058	eV per atom


Record 11
The following is a DFT calculation (PBE) of a relaxed PuNbAgO6 crystal.

a = 5.544 Å, b = 5.544 Å, c = 9.878 Å
α = 90.00°, β = 90.00°, γ = 120.00°
Site moments in Bohr magnetons follow the coordinates.
Atoms (fractional coordinates):
Pu 0.667 0.333 0.250  2.54
Pu 0.333 0.667 0.750  2.54
Nb 0.333 0.667 0.250  0.05
Nb 0.667 0.333 0.750  0.05
Ag 0.000 0.000 0.000  -0.07
Ag 0.000 0.000 0.500  -0.07
O 0.627 0.634 0.142  -0.08
O 0.007 0.373 0.142  -0.08
O 0.373 0.007 0.642  -0.08
O 0.993 0.627 0.858  -0.08
O 0.366 0.373 0.358  -0.08
O 0.007 0.634 0.358  -0.08
O 0.634 0.007 0.858  -0.08
O 0.627 0.993 0.358  -0.08
O 0.993 0.366 0.642  -0.08
O 0.366 0.993 0.142  -0.08
O 0.634 0.627 0.642  -0.08
O 0.373 0.366 0.858  -0.08

Output
crystal system	trigonal
total DFT energy (no corrections)	-8.378	eV per atom
SG	P-31c, No. 163
raw formation energy	-2.04	eV/atom
magnetization	4.00	μB/cell


Record 12
The following is a DFT calculation (PBE) of a relaxed Sm3MgBiRu4O14 crystal.

a = 7.441 Å, b = 7.441 Å, c = 7.441 Å
α = 60.31°, β = 60.31°, γ = 60.31°
Atoms (fractional coordinates):
Sm 0.873 0.377 0.377
Sm 0.377 0.873 0.377
Sm 0.377 0.377 0.873
Mg 0.999 0.999 0.999
Bi 0.377 0.377 0.377
Ru 0.865 0.865 0.865
Ru 0.402 0.866 0.866
Ru 0.866 0.402 0.866
Ru 0.866 0.866 0.402
O 0.247 0.247 0.247
O 0.501 0.501 0.501
O 0.951 0.951 0.549
O 0.951 0.549 0.951
O 0.549 0.951 0.951
O 0.550 0.550 0.949
O 0.550 0.949 0.550
O 0.949 0.550 0.550
O 0.787 0.787 0.213
O 0.787 0.213 0.787
O 0.213 0.787 0.787
O 0.210 0.210 0.790
O 0.210 0.790 0.210
O 0.790 0.210 0.210

Output
crystal system	trigonal
total DFT energy (no corrections)	-7.320	eV per atom
SG	R3m, No. 160
energy relative to the lowest polymorph listed for this composition	0	meV/atom
raw formation energy	-1.84	eV/atom
magnetization	0.00	μB/cell